Below is a geometry-optimized LiHoThMo structure, with properties calculated at the PBE level.

Lattice parameters (Å, degrees): 5.0332 5.0332 5.0332 60.00 60.00 60.00
Last column: nearest neighbours and their distance in Å.
Fractional positions:
Li 0.0000 0.0000 0.0000  4 Th 3.08, 4 Ho 3.08
Ho 0.2500 0.2500 0.2500  4 Mo 3.08, 4 Li 3.08
Th 0.7500 0.7500 0.7500  4 Mo 3.08, 4 Li 3.08
Mo 0.5000 0.5000 0.5000  4 Th 3.08, 4 Ho 3.08

Values from the calculation:
Energy relative to the elements, meV/atom: 132.9
Magnetic moment, μB/cell: 0.0
Symmetry: F-43m (216)

=====

Below is a geometry-optimized Li2Ho4N structure, with properties calculated at the PBE level.

Lattice parameters (Å, degrees): 8.1038 8.1038 8.1038 145.61 145.61 49.43
Last column: nearest neighbours and their distance in Å.
Fractional positions:
Li 0.1355 0.1355 0.0000  5 Ho 2.97-3.12
Li 0.8645 0.8645 0.0000  5 Ho 2.97-3.12
Ho 0.0000 0.5000 0.5000  2 N 2.40
Ho 0.3375 0.3375 0.0000  1 N 2.39
Ho 0.5000 0.0000 0.5000  2 N 2.40
Ho 0.6625 0.6625 0.0000  1 N 2.39
N 0.5000 0.5000 0.0000  6 Ho 2.39-2.40

Values from the calculation:
Formation energy without anion corrections, eV/atom: -0.233
Magnetic moment, μB/cell: 0.1
Symmetry: I4/mmm (139)

=====

Below is a geometry-optimized LiHoNb2N4 structure, with properties calculated at the PBE level.

Lattice parameters (Å, degrees): 5.4336 5.4336 5.4336 130.90 130.90 71.97
Last column: nearest neighbours and their distance in Å.
Fractional positions:
Li 0.0000 0.0000 0.0000  6 N 2.12-2.26
Ho 0.5000 0.5000 0.0000  6 N 2.26-2.28
Nb 0.2500 0.7500 0.5000  6 N 2.20-2.26
Nb 0.7500 0.2500 0.5000  6 N 2.20-2.26
N 0.0000 0.5000 0.5000  2 Nb 2.20, 2 Li 2.26, 2 Ho 2.26
N 0.2411 0.2411 0.0000  1 Li 2.12, 4 Nb 2.26, 1 Ho 2.28
N 0.5000 0.0000 0.5000  2 Nb 2.20, 2 Li 2.26, 2 Ho 2.26
N 0.7589 0.7589 0.0000  1 Li 2.12, 4 Nb 2.26, 1 Ho 2.28

Values from the calculation:
Formation energy without anion corrections, eV/atom: -1.040
Magnetic moment, μB/cell: 0.0
Symmetry: I4/mmm (139)

=====

Below is a geometry-optimized LiHoNb4N8 structure, with properties calculated at the PBE level.

Lattice parameters (Å, degrees): 6.3640 6.3640 6.3640 59.88 59.88 59.88
Last column: nearest neighbours and their distance in Å.
Fractional positions:
Li 0.0000 0.0000 0.0000  6 N 2.21-2.32
Ho 0.3812 0.3812 0.3812  4 N 2.19-2.21
Nb 0.0030 0.0030 0.4861  4 N 1.99-2.19
Nb 0.0030 0.4861 0.0030  4 N 1.99-2.19
Nb 0.4861 0.0030 0.0030  4 N 1.99-2.19
Nb 0.6242 0.6242 0.6242  4 N 1.95-2.13
N 0.2394 0.2394 0.2394  3 Nb 2.13, 1 Ho 2.21
N 0.2439 0.2439 0.8038  2 Nb 1.99, 1 Ho 2.19, 1 Li 2.21
N 0.2439 0.8038 0.2439  2 Nb 1.99, 1 Ho 2.19, 1 Li 2.21
N 0.2480 0.7420 0.7420  1 Nb 1.95
N 0.7420 0.2480 0.7420  1 Nb 1.95
N 0.7420 0.7420 0.2480  1 Nb 1.95
N 0.7606 0.7606 0.7606  4 Nb 2.13-2.19
N 0.8038 0.2439 0.2439  2 Nb 1.99, 1 Ho 2.19, 1 Li 2.21

Values from the calculation:
Formation energy without anion corrections, eV/atom: -0.833
Magnetic moment, μB/cell: 0.0
Symmetry: R3m (160)

=====

Below is a geometry-optimized LiHoNbN3 structure, with properties calculated at the PBE level.

Lattice parameters (Å, degrees): 6.6746 3.1793 6.7857 90.00 103.17 90.00
Last column: nearest neighbours and their distance in Å.
Fractional positions:
Li 0.0784 0.2500 0.0864  4 N 1.86-1.95
Li 0.9216 0.7500 0.9136  4 N 1.86-1.95
Ho 0.1990 0.2500 0.7252  5 N 2.37-2.52
Ho 0.8010 0.7500 0.2748  5 N 2.37-2.52
Nb 0.3284 0.7500 0.3118  5 N 1.97-2.19
Nb 0.6716 0.2500 0.6882  5 N 1.97-2.19
N 0.1282 0.2500 0.3668  1 Li 1.86
N 0.2182 0.7500 0.0173  3 Li 1.94-1.95, 1 Nb 1.97
N 0.4427 0.7500 0.6682  3 Nb 2.19-2.36, 2 Ho 2.37
N 0.5573 0.2500 0.3318  3 Nb 2.19-2.36, 2 Ho 2.37
N 0.7818 0.2500 0.9827  3 Li 1.94-1.95, 1 Nb 1.97
N 0.8718 0.7500 0.6332  1 Li 1.86

Values from the calculation:
Formation energy without anion corrections, eV/atom: -1.007
Magnetic moment, μB/cell: 0.0
Symmetry: P2_1/m (11)

=====

Below is a geometry-optimized Li2HoNb3N6 structure, with properties calculated at the PBE level.

Lattice parameters (Å, degrees): 5.3948 5.3948 5.6633 98.98 98.98 120.04
Last column: nearest neighbours and their distance in Å.
Fractional positions:
Li 0.1654 0.8346 0.0000  6 N 2.32-2.33
Li 0.8346 0.1654 0.0000  6 N 2.32-2.33
Ho 0.5000 0.5000 0.0000  6 N 2.33
Nb 0.0000 0.0000 0.5000  6 N 2.16-2.18
Nb 0.3283 0.6717 0.5000  6 N 2.14-2.20
Nb 0.6717 0.3283 0.5000  6 N 2.14-2.20
N 0.0744 0.4091 0.7265  3 Nb 2.14-2.18, 2 Li 2.32-2.33, 1 Ho 2.33
N 0.2586 0.2586 0.2766  3 Nb 2.16-2.20, 1 Ho 2.33, 2 Li 2.33
N 0.4091 0.0744 0.7265  3 Nb 2.14-2.18, 2 Li 2.32-2.33, 1 Ho 2.33
N 0.5909 0.9256 0.2735  3 Nb 2.14-2.18, 2 Li 2.32-2.33, 1 Ho 2.33
N 0.7414 0.7414 0.7234  3 Nb 2.16-2.20, 1 Ho 2.33, 2 Li 2.33
N 0.9256 0.5909 0.2735  3 Nb 2.14-2.18, 2 Li 2.32-2.33, 1 Ho 2.33

Values from the calculation:
Formation energy without anion corrections, eV/atom: -1.080
Magnetic moment, μB/cell: 0.0
Symmetry: C2/m (12)

=====

Below is a geometry-optimized LiHo3Nb3N8 structure, with properties calculated at the PBE level.

Lattice parameters (Å, degrees): 6.4985 6.4985 6.4985 58.44 58.44 58.44
Last column: nearest neighbours and their distance in Å.
Fractional positions:
Li 0.0000 0.0000 0.0000  6 N 2.23
Ho 0.0000 0.0000 0.5000  6 N 2.33-2.40
Ho 0.0000 0.5000 0.0000  6 N 2.33-2.40
Ho 0.5000 0.0000 0.0000  6 N 2.33-2.40
Nb 0.0000 0.5000 0.5000  6 N 2.14-2.21
Nb 0.5000 0.0000 0.5000  6 N 2.14-2.21
Nb 0.5000 0.5000 0.0000  6 N 2.14-2.21
N 0.2450 0.2450 0.7273  2 Nb 2.14, 1 Li 2.23
N 0.2450 0.7273 0.2450  2 Nb 2.14, 1 Li 2.23
N 0.2560 0.2560 0.2560  3 Nb 2.21, 3 Ho 2.33
N 0.2727 0.7550 0.7550  2 Nb 2.14, 1 Li 2.23
N 0.7273 0.2450 0.2450  2 Nb 2.14, 1 Li 2.23
N 0.7440 0.7440 0.7440  3 Nb 2.21, 3 Ho 2.33
N 0.7550 0.2727 0.7550  2 Nb 2.14, 1 Li 2.23
N 0.7550 0.7550 0.2727  2 Nb 2.14, 1 Li 2.23

Values from the calculation:
Formation energy without anion corrections, eV/atom: -1.082
Magnetic moment, μB/cell: 0.0
Symmetry: R-3m (166)

=====

Below is a geometry-optimized LiHo2NpN4 structure, with properties calculated at the PBE level.

Lattice parameters (Å, degrees): 5.9971 5.9971 5.9971 134.06 134.06 67.00
Last column: nearest neighbours and their distance in Å.
Fractional positions:
Li 0.0000 0.0000 0.0000  4 N 2.34
Ho 0.2500 0.7500 0.5000  6 N 2.37-2.50
Ho 0.7500 0.2500 0.5000  6 N 2.37-2.50
Np 0.5000 0.5000 0.0000  6 N 2.13-2.34
N 0.0000 0.5000 0.5000  2 Li 2.34, 2 Np 2.34, 2 Ho 2.50
N 0.2869 0.2869 0.0000  1 Np 2.13, 4 Ho 2.37
N 0.5000 0.0000 0.5000  2 Li 2.34, 2 Np 2.34, 2 Ho 2.50
N 0.7131 0.7131 0.0000  1 Np 2.13, 4 Ho 2.37

Values from the calculation:
Formation energy without anion corrections, eV/atom: -1.347
Magnetic moment, μB/cell: 1.9
Symmetry: I4/mmm (139)